VASP calculation (GGA-PBE) on a relaxed structure of CuAgBiCl5.

```
16
Lattice="3.879 -6.170 0.000 3.879 6.170 0.000 -3.672 0.000 9.227" Properties=species:S:1:pos:R:3 pbc="T T T"
Cu 1.125 3.602 6.920
Cu 2.961 -3.602 2.307
Ag 2.961 5.037 2.307
Ag 1.125 -5.037 6.920
Bi 3.879 0.000 0.000
Bi 2.043 0.000 4.614
Cl -0.430 1.043 4.004
Cl -0.551 2.235 7.806
Cl -2.266 -1.043 8.617
Cl 2.961 1.176 2.307
Cl 2.802 2.235 6.035
Cl 1.284 -2.235 3.193
Cl 1.125 -1.176 6.920
Cl 6.352 1.043 0.610
Cl 4.638 -2.235 1.421
Cl 4.516 -1.043 5.224
```

* uncorrected formation energy: -0.686 eV/atom
* space-group type: No. 15
* final energy: -3.193 eV/atom
* total magnetic moment: 0.1 μB per formula unit